(1)
# HfBeInNi

An optimized crystal structure of HfBeInNi (PBE, OQMD).

abc: 4.462 4.462 4.462
angles: 60.00 60.00 60.00
Element x y z (fractional)
Be: 0.500 0.500 0.500
Hf: 0.250 0.250 0.250
In: 0.000 0.000 0.000
Ni: 0.750 0.750 0.750

Properties
- space-group type = F-43m (216)
- ρ (g/cm³) = 9.5
- E_tot (eV/atom) = -5.34

(2)
# HfBeIr

An optimized crystal structure of HfBeIr (PBE, OQMD).

abc: 4.274 4.274 4.274
angles: 60.00 60.00 60.00
Element x y z (fractional)
Be: 0.250 0.250 0.250
Hf: 0.000 0.000 0.000
Ir: 0.750 0.750 0.750

Properties
- space-group type = F-43m (216)
- ρ (g/cm³) = 11.4
- E_tot (eV/atom) = -7.28